No. 1
VASP calculation (PBEsol) on a relaxed structure of Si3W.

**V**: 14.4 Å³/atom
**SG**: Cmcm
**DFT total energy**: -7.67 eV per atom
**Formation energy from raw total energies**: 9 kJ/mol of atoms
**Total magnetic moment**: 0.000 μB per atom

abc: 4.3430 4.9414 5.9135
angles: 65.30 90.00 90.00
Fractional coordinates of all 8 atoms:
Si 0.7500 0.2048 0.5904
Si 0.2500 0.7952 0.4096
Si 0.7500 0.6742 0.1839
Si 0.2500 0.3258 0.8161
Si 0.2500 0.8581 0.8161
Si 0.7500 0.1419 0.1839
W 0.7500 0.6104 0.7793
W 0.2500 0.3896 0.2207

---

No. 2
VASP calculation (PBEsol) on a relaxed structure of RuPb2Cl.

**V**: 22.5 Å³/atom
**SG**: R3m
**Distance to the lowest polymorph of the same formula**: 0.049 eV/atom
**DFT total energy**: -4.81 eV per atom
**Formation energy from raw total energies**: 22 kJ/mol of atoms
**Total magnetic moment**: 0.408 μB per atom

abc: 3.3532 3.3532 9.4628
angles: 79.79 79.79 60.00
Site moments in Bohr magnetons follow the coordinates.
Fractional coordinates of all 4 atoms:
Cl 0.2279 0.2279 0.3162  0.14
Pb 0.9980 0.9980 0.0061  0.01
Pb 0.7668 0.7668 0.6995  0.01
Ru 0.5073 0.5073 0.4782  1.38

---

No. 3
VASP calculation (PBEsol) on a relaxed structure of TiAlIn3.

**ΔE_f**: 0.68 eV/atom
**V**: 29.4 Å³/atom
**SG**: Pm-3m
**DFT total energy**: -3.59 eV per atom
**Total magnetic moment**: 0.339 μB per atom

abc: 5.2761 5.2761 5.2761
angles: 90.00 90.00 90.00
Site moments in Bohr magnetons follow the coordinates.
Fractional coordinates of all 5 atoms:
Ti 0.0000 0.0000 0.0000  1.07
Al 0.5000 0.5000 0.5000  0.00
In 0.0000 0.5000 0.0000  0.08
In 0.0000 0.0000 0.5000  0.08
In 0.5000 0.0000 0.0000  0.08

---

No. 4
VASP calculation (PBEsol) on a relaxed structure of Ce3CuSnSe7.

**V**: 24.2 Å³/atom
**SG**: P6_3
**DFT total energy**: -5.84 eV per atom
**Formation energy from raw total energies**: -118 kJ/mol of atoms
**Total magnetic moment**: 0.216 μB per atom

abc: 6.2314 10.3714 10.3714
angles: 120.00 90.00 90.00
Site moments in Bohr magnetons follow the coordinates.
Fractional coordinates of all 24 atoms:
Ce 0.7474 0.6397 0.8588  0.81
Ce 0.2474 0.8588 0.2191  0.81
Ce 0.2474 0.7809 0.6397  0.81
Ce 0.7474 0.2191 0.3603  0.81
Ce 0.7474 0.1412 0.7809  0.81
Ce 0.2474 0.3603 0.1412  0.81
Cu 0.7821 0.0000 0.0000  -0.01
Cu 0.2821 0.0000 0.0000  -0.01
Sn 0.1698 0.3333 0.6667  0.04
Sn 0.6698 0.6667 0.3333  0.04
Se 0.5816 0.3333 0.6667  0.00
Se 0.0816 0.6667 0.3333  0.00
Se 0.7689 0.8963 0.1552  -0.02
Se 0.2689 0.1552 0.2589  -0.02
Se 0.2689 0.7411 0.8963  -0.02
Se 0.7689 0.2589 0.1037  -0.02
Se 0.7689 0.8448 0.7411  -0.02
Se 0.2689 0.1037 0.8448  -0.02
Se 0.9922 0.0725 0.5092  0.00
Se 0.4922 0.5092 0.4366  0.00
Se 0.4922 0.5634 0.0725  0.00
Se 0.9922 0.4366 0.9275  0.00
Se 0.9922 0.4908 0.5634  0.00
Se 0.4922 0.9275 0.4908  0.00

---

No. 5
VASP calculation (PBEsol) on a relaxed structure of MnVBiO5.

**V**: 13.6 Å³/atom
**SG**: P-1
**DFT total energy**: -8.05 eV per atom
**Formation energy from raw total energies**: -175 kJ/mol of atoms
**Total magnetic moment**: 0.625 μB per atom

abc: 5.2941 6.8512 6.9398
angles: 110.51 107.52 96.11
Site moments in Bohr magnetons follow the coordinates.
Fractional coordinates of all 16 atoms:
Mn 0.3278 0.3652 0.2285  4.25
Mn 0.6722 0.6348 0.7715  4.25
V 0.6591 0.1826 0.8865  0.34
V 0.3409 0.8174 0.1135  0.34
Bi 0.0980 0.7625 0.5347  0.05
Bi 0.9020 0.2375 0.4653  0.05
O 0.2294 0.6521 0.2286  0.01
O 0.7706 0.3479 0.7714  0.01
O 0.4274 0.0883 0.2918  0.01
O 0.5726 0.9117 0.7082  0.01
O 0.6244 0.7570 0.0664  0.00
O 0.3756 0.2430 0.9336  0.00
O 0.7296 0.5030 0.4474  0.05
O 0.2704 0.4970 0.5526  0.05
O 0.9180 0.2195 0.1308  0.01
O 0.0820 0.7805 0.8692  0.01

---

No. 6
VASP calculation (PBEsol) on a relaxed structure of ZnCrAu2.

**ΔE_f**: 0.02 eV/atom
**V**: 15.7 Å³/atom
**SG**: P4/mmm
**DFT total energy**: -4.90 eV per atom
**Total magnetic moment**: 1.005 μB per atom

abc: 3.6861 4.1214 4.1214
angles: 90.00 90.00 90.00
Site moments in Bohr magnetons follow the coordinates.
Fractional coordinates of all 4 atoms:
Au 0.0000 0.0000 0.5000  0.09
Au 0.0000 0.5000 0.0000  0.09
Cr 0.5000 0.5000 0.5000  3.55
Zn 0.5000 0.0000 0.0000  -0.01

---

No. 7
VASP calculation (PBEsol) on a relaxed structure of YHPt3.

**V**: 13.9 Å³/atom
**SG**: Pm-3m
**DFT total energy**: -6.97 eV per atom
**Total magnetic moment**: 0.000 μB per atom

abc: 4.1149 4.1149 4.1149
angles: 90.00 90.00 90.00
Fractional coordinates of all 5 atoms:
Y 0.5000 0.5000 0.5000
H 0.0000 0.0000 0.0000
Pt 0.0000 0.5000 0.0000
Pt 0.0000 0.0000 0.5000
Pt 0.5000 0.0000 0.0000

---

No. 8
VASP calculation (PBEsol) on a relaxed structure of ZrSc2Br.

**V**: 22.2 Å³/atom
**SG**: R3m
**DFT total energy**: -6.39 eV per atom
**Formation energy from raw total energies**: -33 kJ/mol of atoms
**Total magnetic moment**: 0.046 μB per atom

abc: 3.3193 3.3193 9.5167
angles: 79.96 79.96 60.00
Site moments in Bohr magnetons follow the coordinates.
Fractional coordinates of all 4 atoms:
Br 0.2486 0.2486 0.2542  0.00
Sc 0.9944 0.9944 0.0167  0.07
Sc 0.7515 0.7515 0.7456  0.04
Zr 0.5055 0.5055 0.4835  0.00